(P)
{
  "formula": "KBePb",
  "functional": "PBE-GGA",
  "state": "optimized geometry",
  "lattice": [[0.000, 3.751, 3.751], [3.751, 0.000, 3.751], [3.751, 3.751, 0.000]],
  "species": ["K", "Be", "Pb"],
  "fractional_positions": [[0.000, 0.000, 0.000], [0.250, 0.250, 0.250], [0.750, 0.750, 0.750]],
  "space_group": "F-43m (216)",
  "m_tot_mub_per_fu": 0.00,
  "n_ef_per_ev_fu": 4.4
}

---

(Q)
{
  "formula": "KBePb",
  "functional": "PBE-GGA",
  "state": "optimized geometry",
  "lattice": [[0.000, 3.631, 3.631], [3.631, 0.000, 3.631], [3.631, 3.631, 0.000]],
  "species": ["K", "Be", "Pb"],
  "fractional_positions": [[0.000, 0.000, 0.000], [0.500, 0.500, 0.500], [0.750, 0.750, 0.750]],
  "space_group": "F-43m (216)",
  "m_tot_mub_per_fu": 0.00,
  "n_ef_per_ev_fu": 4.2
}

---

Energy ordering: (Q) at the bottom, the next structure 438 meV per atom above.